PrCdN PBE-GGA optimized geometry; DOS(E_F) = 0.51 states/eV per atom; formation energy without anion corrections = -0.628 eV/atom; SG = R-3m (166); ΔE to the lowest computed polymorph = 0 meV per atom
1.0
4.084 0.000 0.000
2.042 3.537 0.000
2.042 1.179 10.775
N Pr Cd
2 2 2
direct
0.365 0.365 0.904 N
0.635 0.635 0.096 N
0.291 0.291 0.126 Pr
0.709 0.709 0.874 Pr
0.134 0.134 0.597 Cd
0.866 0.866 0.403 Cd

Pr7Cd3N2 PBE-GGA optimized geometry; DOS(E_F) = 0.59 states/eV per atom; formation energy without anion corrections = -0.605 eV/atom; SG = Cmmm (65)
1.0
5.090 0.000 0.000
0.000 4.987 -1.089
0.000 0.139 12.603
N Pr Cd
2 7 3
direct
0.000 0.104 0.208 N
0.000 0.896 0.792 N
0.000 0.600 0.200 Pr
0.000 0.798 0.596 Pr
0.000 0.202 0.404 Pr
0.500 0.102 0.203 Pr
0.000 0.000 0.000 Pr
0.000 0.400 0.800 Pr
0.500 0.898 0.797 Pr
0.500 0.298 0.597 Cd
0.500 0.702 0.403 Cd
0.500 0.500 0.000 Cd

Pr2CdN PBE-GGA optimized geometry; DOS(E_F) = 0.97 states/eV per atom; formation energy without anion corrections = -0.716 eV/atom; SG = R3m (160); ΔE to the lowest computed polymorph = 0 meV per atom
1.0
3.669 0.000 0.000
1.835 3.178 0.000
1.835 1.059 8.394
N Pr Cd
1 2 1
direct
0.667 0.667 0.999 N
0.277 0.277 0.169 Pr
0.055 0.055 0.834 Pr
0.500 0.500 0.499 Cd

Pr2CdN PBE-GGA optimized geometry; DOS(E_F) = 0.89 states/eV per atom; formation energy without anion corrections = -0.669 eV/atom; SG = Ima2 (46); ΔE to the lowest computed polymorph = 47 meV per atom
1.0
4.862 0.000 1.867
1.637 6.119 3.000
0.098 -0.053 7.008
Cd Pr N
2 4 2
direct
0.174 0.341 0.311 Cd
0.826 0.189 0.159 Cd
0.855 0.613 0.678 Pr
0.455 0.827 0.263 Pr
0.545 0.237 0.673 Pr
0.145 0.822 0.887 Pr
0.365 0.621 0.649 N
0.635 0.851 0.879 N

Pr5Cd2N2 PBE-GGA optimized geometry; DOS(E_F) = 0.63 states/eV per atom; formation energy without anion corrections = -0.617 eV/atom; SG = Ima2 (46)
1.0
-2.931 -6.410 2.262
4.335 -3.576 -4.517
5.896 4.381 7.944
Pr N Cd
10 4 4
direct
0.106 0.609 0.500 Pr
0.822 0.841 0.725 Pr
0.244 0.735 0.980 Pr
0.597 0.616 0.275 Pr
0.178 0.116 0.275 Pr
0.756 0.755 0.020 Pr
0.764 0.255 0.020 Pr
0.894 0.109 0.500 Pr
0.236 0.235 0.980 Pr
0.403 0.341 0.725 Pr
0.000 0.994 0.000 N
0.170 0.283 0.500 N
0.500 0.494 0.000 N
0.830 0.783 0.500 N
0.879 0.395 0.787 Cd
0.592 0.108 0.213 Cd
0.408 0.895 0.787 Cd
0.121 0.608 0.213 Cd

PrCdN PBE-GGA optimized geometry; DOS(E_F) = 0.43 states/eV per atom; formation energy without anion corrections = -0.576 eV/atom; SG = P4/nmm (129); ΔE to the lowest computed polymorph = 53 meV per atom
1.0
-2.063 -3.734 1.237
3.904 -1.782 1.134
-0.729 2.567 6.538
Cd N Pr
2 2 2
direct
0.750 0.250 0.115 Cd
0.250 0.750 0.885 Cd
0.250 0.250 0.500 N
0.750 0.750 0.500 N
0.250 0.750 0.369 Pr
0.750 0.250 0.631 Pr

Q: Which formula does entry 3 have?
A: Pr2CdN

Q: DOS(E_F) of number 5 (Pr5Cd2N2)?
A: 0.63 states/eV per atom

Q: What is the formation energy without anion corrections in the second record?
A: -0.605 eV/atom